(1)
Crystalline Zr2TiCI at its relaxed geometry, computed with PBEsol.

Cell lengths 3.9100, 5.0594, 5.0594 Å; angles 90.00, 90.00, 90.00 degrees
Fractional coordinates of all 5 atoms:
I 0.5000 0.5000 0.5000
C 0.5000 0.0000 0.0000
Zr 0.0000 0.0000 0.5000
Zr 0.0000 0.5000 0.0000
Ti 0.0000 0.0000 0.0000

Values from the calculation:
Total DFT energy (no corrections), eV per atom: -6.802
Crystal system: tetragonal
Symmetry: P4/mmm, No. 123

(2)
Crystalline CuSbOs2 at its relaxed geometry, computed with PBEsol.

Cell lengths 2.8987, 4.4645, 4.7080 Å; angles 90.00, 90.00, 90.00 degrees
Fractional coordinates of all 4 atoms:
Cu 0.0000 0.5000 0.5000
Os 0.0000 0.0000 0.0000
Os 0.5000 0.0000 0.5000
Sb 0.5000 0.5000 0.0000

Values from the calculation:
Total DFT energy (no corrections), eV per atom: -7.602
Crystal system: orthorhombic
Symmetry: Pmmm, No. 47

(3)
Crystalline LaMoP at its relaxed geometry, computed with PBEsol.

Cell lengths 4.5057, 4.5057, 4.5057 Å; angles 60.00, 60.00, 60.00 degrees
Fractional coordinates of all 3 atoms:
La 0.0000 0.0000 0.0000
Mo 0.5000 0.5000 0.5000
P 0.2500 0.2500 0.2500

Values from the calculation:
Crystal system: cubic
Symmetry: F-43m, No. 216
Energy of formation, kJ per mole of atoms: 2

| no. | ρ (Mg/m³) |
| --- | --- |
| 1 | 6.13 |
| 2 | 15.42 |
| 3 | 6.82 |